No. 1
Entry from Alexandria via LeMat-Bulk: a relaxed Ce2HPd6Au crystal (PBE).

Cell and atoms, written as POSCAR:
```
Ce2HPd6Au
1.0
5.5790 0.0000 0.0000
2.6278 4.9277 0.0000
2.5939 1.5419 6.4568
Ce H Pd Au
2 1 6 1
direct
0.2489 0.2477 0.1908 Ce
0.7511 0.7523 0.8092 Ce
0.5000 0.5000 0.5000 H
0.1729 0.6825 0.3609 Pd
0.2977 0.2991 0.7337 Pd
0.3171 0.8277 0.6384 Pd
0.6829 0.1723 0.3616 Pd
0.7023 0.7009 0.2663 Pd
0.8271 0.3175 0.6391 Pd
0.0000 0.0000 0.0000 Au
```

Properties
The total moment is 1.36 Bohr magnetons per cell. As for the density: 10.45 g/cm³.



No. 2
Entry from Alexandria via LeMat-Bulk: a relaxed CeH6Pd4Au crystal (PBE).

Cell and atoms, written as POSCAR:
```
CeH6Pd4Au
1.0
4.7841 0.0000 0.0000
-2.3921 4.1432 0.0000
0.0000 0.0000 6.7397
Ce H Pd Au
1 6 4 1
direct
0.0000 0.0000 0.0000 Ce
0.0000 0.5000 0.1435 H
0.0000 0.5000 0.8565 H
0.5000 0.0000 0.1435 H
0.5000 0.0000 0.8565 H
0.5000 0.5000 0.1435 H
0.5000 0.5000 0.8565 H
0.3333 0.6667 0.3001 Pd
0.3333 0.6667 0.6999 Pd
0.6667 0.3333 0.3001 Pd
0.6667 0.3333 0.6999 Pd
0.0000 0.0000 0.5000 Au
```

Properties
The total moment is 0.77 Bohr magnetons per cell. As for the density: 9.56 g/cm³.



No. 3
Entry from Alexandria via LeMat-Bulk: a relaxed CeH8Rh4Au crystal (PBE).

Cell and atoms, written as POSCAR:
```
CeH8Rh4Au
1.0
2.8393 1.6393 4.7813
-2.8393 1.6393 4.7813
0.0000 -3.2785 4.7813
Ce H Rh Au
1 8 4 1
direct
0.0000 0.0000 0.0000 Ce
0.2974 0.2974 0.9006 H
0.2974 0.9006 0.2974 H
0.3805 0.3805 0.3805 H
0.4817 0.8562 0.8562 H
0.8428 0.8428 0.8428 H
0.8562 0.4817 0.8562 H
0.8562 0.8562 0.4817 H
0.9006 0.2974 0.2974 H
0.1328 0.6238 0.6238 Rh
0.2492 0.2492 0.2492 Rh
0.6238 0.1328 0.6238 Rh
0.6238 0.6238 0.1328 Rh
0.6184 0.6184 0.6184 Au
```

Properties
The total moment is 0.67 Bohr magnetons per cell. As for the density: 9.41 g/cm³.



No. 4
Entry from Alexandria via LeMat-Bulk: a relaxed Ce4H3Rh12Au crystal (PBE).

Cell and atoms, written as POSCAR:
```
Ce4H3Rh12Au
1.0
-4.2671 4.2671 4.2671
4.2671 -4.2671 4.2671
4.2671 4.2671 -4.2671
Ce H Rh Au
4 3 12 1
direct
0.0000 0.0000 0.5000 Ce
0.0000 0.5000 0.0000 Ce
0.5000 0.0000 0.0000 Ce
0.5000 0.5000 0.5000 Ce
0.0000 0.5000 0.5000 H
0.5000 0.0000 0.5000 H
0.5000 0.5000 0.0000 H
0.0000 0.2976 0.2976 Rh
0.0000 0.7024 0.7024 Rh
0.2500 0.5000 0.7500 Rh
0.2500 0.7500 0.5000 Rh
0.2976 0.0000 0.2976 Rh
0.2976 0.2976 0.0000 Rh
0.5000 0.2500 0.7500 Rh
0.5000 0.7500 0.2500 Rh
0.7024 0.0000 0.7024 Rh
0.7024 0.7024 0.0000 Rh
0.7500 0.2500 0.5000 Rh
0.7500 0.5000 0.2500 Rh
0.0000 0.0000 0.0000 Au
```

Properties
The total moment is 0.00 Bohr magnetons per cell. As for the density: 10.66 g/cm³.



No. 5
Entry from Alexandria via LeMat-Bulk: a relaxed CeSbHAu crystal (PBE).

Cell and atoms, written as POSCAR:
```
CeSbHAu
1.0
4.5583 0.0000 0.0000
-2.2791 3.9476 0.0000
0.0000 0.0000 4.5595
Ce Sb H Au
1 1 1 1
direct
0.0000 0.0000 0.0000 Ce
0.3333 0.6667 0.4267 Sb
0.6667 0.3333 0.9875 H
0.6667 0.3333 0.6003 Au
```

Properties
The total moment is 1.00 Bohr magnetons per cell. As for the density: 9.31 g/cm³.



No. 6
Entry from Alexandria via LeMat-Bulk: a relaxed CeHfAu4 crystal (PBE).

Cell and atoms, written as POSCAR:
```
CeHfAu4
1.0
3.6558 0.0000 0.0000
0.0000 3.6558 0.0000
0.0000 0.0000 9.2668
Ce Hf Au
1 1 4
direct
0.0000 0.0000 0.0000 Ce
0.5000 0.5000 0.5000 Hf
0.0000 0.0000 0.3458 Au
0.0000 0.0000 0.6542 Au
0.5000 0.5000 0.1863 Au
0.5000 0.5000 0.8137 Au
```

Properties
The total moment is 0.60 Bohr magnetons per cell. As for the density: 14.84 g/cm³. The energy of formation comes out at -0.579 eV per atom.



No. 7
Entry from Alexandria via LeMat-Bulk: a relaxed Ce3Hg2Au2 crystal (PBE).

Cell and atoms, written as POSCAR:
```
Ce3Hg2Au2
1.0
4.4723 -2.5881 0.0000
4.4723 2.5881 0.0000
-2.9508 0.0000 8.8676
Ce Hg Au
3 2 2
direct
0.0000 0.0000 0.0000 Ce
0.2230 0.2230 0.6677 Ce
0.7770 0.7770 0.3323 Ce
0.3848 0.3848 0.1535 Hg
0.6152 0.6152 0.8465 Hg
0.1104 0.1104 0.3312 Au
0.8896 0.8896 0.6688 Au
```

Properties
The total moment is 3.16 Bohr magnetons per cell. As for the density: 9.83 g/cm³. The energy of formation comes out at -0.373 eV per atom.



No. 8
Entry from Alexandria via LeMat-Bulk: a relaxed Ce3HgAu5 crystal (PBE).

Cell and atoms, written as POSCAR:
```
Ce3HgAu5
1.0
8.8919 0.0000 0.0000
-4.4459 7.7006 0.0000
0.0000 0.0000 6.2390
Ce Hg Au
6 2 10
direct
0.0000 0.3489 0.2500 Ce
0.0000 0.6511 0.7500 Ce
0.3489 0.0000 0.2500 Ce
0.3489 0.3489 0.7500 Ce
0.6511 0.0000 0.7500 Ce
0.6511 0.6511 0.2500 Ce
0.0000 0.0000 0.0000 Hg
0.0000 0.0000 0.5000 Hg
0.0000 0.3195 0.7500 Au
0.0000 0.6805 0.2500 Au
0.3195 0.0000 0.7500 Au
0.3195 0.3195 0.2500 Au
0.3333 0.6667 0.0000 Au
0.3333 0.6667 0.5000 Au
0.6667 0.3333 0.0000 Au
0.6667 0.3333 0.5000 Au
0.6805 0.0000 0.2500 Au
0.6805 0.6805 0.7500 Au
```

Properties
The total moment is 5.13 Bohr magnetons per cell. As for the density: 12.48 g/cm³. The energy of formation comes out at -0.606 eV per atom.



| no. | Fermi-level density of states (states/eV/f.u.) | VASP energy (eV per atom) |
| --- | --- | --- |
| 1 | 13.462 | -5.52 |
| 2 | 9.844 | -4.42 |
| 3 | 9.113 | -4.82 |
| 4 | 25.458 | -6.68 |
| 5 | 7.129 | -4.76 |
| 6 | 6.242 | -5.41 |
| 7 | 22.738 | -3.94 |
| 8 | 19.427 | -4.44 |